NaMoAsO6 GGA+U relaxed; E above lowest polymorph = 63 meV per atom; raw total energy = -111.8 eV per cell; crystal system = trigonal; symmetry = P-31c, No. 163
1.0
5.108 0.000 0.000
-2.554 4.424 0.000
0.000 0.000 10.456
Na Mo As O
2 2 2 12
Direct
0.000 0.000 0.000
0.000 0.000 0.500
0.333 0.667 0.250
0.667 0.333 0.750
0.333 0.667 0.750
0.667 0.333 0.250
0.012 0.389 0.649
0.012 0.623 0.851
0.377 0.389 0.851
0.377 0.988 0.649
0.389 0.012 0.149
0.389 0.377 0.351
0.611 0.623 0.649
0.611 0.988 0.851
0.623 0.012 0.351
0.623 0.611 0.149
0.988 0.377 0.149
0.988 0.611 0.351